[1]
An optimized crystal structure of Si2TeW. Source: the Alexandria database, functional PBE.

Calculated values
Formation energy (no corrections): 607 meV/atom
DFT total energy: -24.51 eV/cell

Cell: 4.572 3.530 4.683 Å, 87.04 90.00 90.00°
Positions (direct):
1 W 0.500 0.750 0.750
2 Te 0.500 0.250 0.250
3 Si 0.000 0.781 0.997
4 Si 0.000 0.719 0.503

=====

[2]
An optimized crystal structure of Si2TeW. Source: the Alexandria database, functional PBE.

Calculated values
Formation energy (no corrections): 868 meV/atom
DFT total energy: -23.47 eV/cell

Cell: 3.251 4.955 4.378 Å, 90.00 90.00 90.00°
Positions (direct):
1 Si 0.000 0.000 0.000
2 Si 0.500 0.500 0.000
3 Te 0.500 0.000 0.500
4 W 0.000 0.500 0.500

=====

[3]
An optimized crystal structure of YSi2Te. Source: the Alexandria database, functional PBE.

Calculated values
Formation energy (no corrections): 53 meV/atom
DFT total energy: -40.48 eV/cell

Cell: 7.975 7.975 6.370 Å, 51.24 51.24 90.00°
Positions (direct):
1 Te 0.750 0.250 0.500
2 Te 0.000 0.000 0.000
3 Y 0.250 0.750 0.500
4 Y 0.500 0.500 0.000
5 Si 0.375 0.368 0.750
6 Si 0.118 0.625 0.250
7 Si 0.632 0.125 0.250
8 Si 0.875 0.882 0.750

=====

[4]
An optimized crystal structure of YSi2Te. Source: the Alexandria database, functional PBE.

Calculated values
Formation energy (no corrections): -418 meV/atom
DFT total energy: -22.12 eV/cell

Cell: 7.658 7.658 7.658 Å, 29.93 29.93 29.93°
Positions (direct):
1 Te 0.495 0.495 0.495
2 Si 0.983 0.983 0.983
3 Si 0.280 0.280 0.280
4 Y 0.741 0.741 0.741

=====

Number 1: density of states at the Fermi level 2.23 states/eV/f.u.. Number 2: density of states at the Fermi level 3.18 states/eV/f.u.. Number 3: density of states at the Fermi level 3.66 states/eV/f.u.. Number 4: density of states at the Fermi level 1.76 states/eV/f.u..